[1]
DFT (PBE) results for an optimized crystal structure of ErGaPd2.

Cell lengths 3.7027, 4.4193, 4.4193 Å; angles 90.00, 90.00, 90.00 degrees
Closest atoms and distances in Å follow each position.
Element x y z (fractional)
Ga  0.5000  0.0000  0.0000  8 Pd 2.88, 4 Er 3.12
Pd  0.0000  0.0000  0.5000  4 Er 2.88, 4 Ga 2.88, 4 Pd 3.12
Pd  0.0000  0.5000  0.0000  4 Er 2.88, 4 Ga 2.88, 4 Pd 3.12
Er  0.5000  0.5000  0.5000  8 Pd 2.88, 4 Ga 3.12

Total magnetization ... 0.0 μB/f.u.
DOS at the Fermi energy ... 2.3 states/eV/cell
Formation energy from the elements ... -0.737 eV/atom


[2]
DFT (PBE) results for an optimized crystal structure of CaTi3Rh.

Cell lengths 4.4757, 4.4757, 4.4757 Å; angles 90.00, 90.00, 90.00 degrees
Closest atoms and distances in Å follow each position.
Element x y z (fractional)
Ca  0.0000  0.0000  0.0000  6 Ti 2.24
Rh  0.5000  0.5000  0.5000  12 Ti 3.16
Ti  0.0000  0.5000  0.0000  2 Ca 2.24
Ti  0.0000  0.0000  0.5000  2 Ca 2.24
Ti  0.5000  0.0000  0.0000  2 Ca 2.24

Total magnetization ... 1.1 μB/f.u.
DOS at the Fermi energy ... 6.2 states/eV/cell
Formation energy from the elements ... 1.670 eV/atom
E above lowest polymorph ... 1440 meV per atom


[3]
DFT (PBE) results for an optimized crystal structure of Li8Cd5Sn.

Cell lengths 7.1518, 7.1518, 7.1518 Å; angles 109.31, 109.79, 109.31 degrees
Closest atoms and distances in Å follow each position.
Element x y z (fractional)
Li  0.1261  0.7416  0.0350  1 Sn 2.80, 5 Cd 2.82-2.88, 1 Li 3.05
Li  0.9650  0.0911  0.7066  1 Sn 2.80, 5 Cd 2.82-2.88, 1 Li 3.05
Li  0.7872  0.2584  0.3818  5 Cd 2.84-2.96, 1 Sn 2.86, 3 Li 3.04-3.15
Li  0.6182  0.4054  0.8766  5 Cd 2.84-2.96, 1 Sn 2.86, 3 Li 3.04-3.15
Li  0.4712  0.5946  0.2128  5 Cd 2.84-2.96, 1 Sn 2.86, 3 Li 3.04-3.15
Li  0.6154  0.9089  0.8739  1 Sn 2.80, 5 Cd 2.82-2.88, 1 Li 3.05
Li  0.2934  0.2584  0.3846  1 Sn 2.80, 5 Cd 2.82-2.88, 1 Li 3.05
Li  0.1234  0.7416  0.5288  5 Cd 2.84-2.96, 1 Sn 2.86, 3 Li 3.04-3.15
Cd  0.9946  0.3620  0.1161  8 Li 2.82-2.96
Cd  0.8839  0.8786  0.2459  8 Li 2.82-2.96
Cd  0.7541  0.6380  0.6327  8 Li 2.82-2.96
Cd  0.5000  0.0000  0.5000  8 Li 2.84-2.88
Cd  0.3673  0.1214  0.0054  8 Li 2.82-2.96
Sn  0.2500  0.5000  0.7500  8 Li 2.80-2.86

Total magnetization ... 0.0 μB/f.u.
DOS at the Fermi energy ... 6.4 states/eV/cell
Formation energy from the elements ... -0.136 eV/atom